A plane-wave DFT calculation with PBE-GGA was carried out for a relaxed structure of Pa3Ga4Rh2.

Computed properties:
ΔE_f in eV per atom: -0.6098
Total DFT energy (no corrections) in eV per cell: -121.57

The structure in CIF format:
```
data_Pa3Ga4Rh2
_chemical_formula_sum 'Pa6 Ga8 Rh4'
_cell_length_a 10.586
_cell_length_b 4.450
_cell_length_c 8.334
_cell_angle_alpha 90.00
_cell_angle_beta 116.45
_cell_angle_gamma 90.00
_symmetry_space_group_name_H-M 'C 1 2/m 1'
_symmetry_Int_Tables_number 12
_symmetry_space_group_name_Hall '-C 2y'
loop_
_atom_site_label
_atom_site_type_symbol
_atom_site_fract_x
_atom_site_fract_y
_atom_site_fract_z
Pa1 Pa 0.000 0.000 0.000
Pa2 Pa 0.190 0.500 0.648
Ga1 Ga 0.013 0.000 0.357
Ga2 Ga 0.225 0.500 0.061
Rh1 Rh 0.100 0.500 0.278
```

A plane-wave DFT calculation with PBE-GGA was carried out for a relaxed structure of Pa3Ga2Rh6.

Computed properties:
ΔE_f in eV per atom: -0.7349
Total DFT energy (no corrections) in eV per cell: -346.94

The structure in CIF format:
```
data_Pa3Ga2Rh6
_chemical_formula_sum 'Pa12 Ga8 Rh24'
_cell_length_a 9.284
_cell_length_b 9.284
_cell_length_c 9.284
_cell_angle_alpha 90.00
_cell_angle_beta 90.00
_cell_angle_gamma 90.00
_symmetry_space_group_name_H-M 'I m -3 m'
_symmetry_Int_Tables_number 229
_symmetry_space_group_name_Hall '-I 4 2 3'
loop_
_atom_site_label
_atom_site_type_symbol
_atom_site_fract_x
_atom_site_fract_y
_atom_site_fract_z
Pa1 Pa 0.000 0.000 0.283
Ga1 Ga 0.250 0.250 0.250
Rh1 Rh 0.000 0.350 0.350
```

A plane-wave DFT calculation with PBE-GGA was carried out for a relaxed structure of PaGaRh2.

Computed properties:
ΔE_f in eV per atom: -0.6621
Total DFT energy (no corrections) in eV per cell: -29.87

The structure in CIF format:
```
data_PaGaRh2
_chemical_formula_sum 'Pa1 Ga1 Rh2'
_cell_length_a 3.060
_cell_length_b 3.060
_cell_length_c 7.186
_cell_angle_alpha 90.00
_cell_angle_beta 90.00
_cell_angle_gamma 90.00
_symmetry_space_group_name_H-M 'P 4/m m m'
_symmetry_Int_Tables_number 123
_symmetry_space_group_name_Hall '-P 4 2'
loop_
_atom_site_label
_atom_site_type_symbol
_atom_site_fract_x
_atom_site_fract_y
_atom_site_fract_z
Pa1 Pa 0.000 0.000 0.000
Ga1 Ga 0.000 0.000 0.500
Rh1 Rh 0.500 0.500 0.290
```

A plane-wave DFT calculation with PBE-GGA was carried out for a relaxed structure of Pa2Ga5Rh.

Computed properties:
ΔE_f in eV per atom: -0.3807
Total DFT energy (no corrections) in eV per cell: -89.05

The structure in CIF format:
```
data_Pa2Ga5Rh
_chemical_formula_sum 'Pa4 Ga10 Rh2'
_cell_length_a 5.939
_cell_length_b 5.939
_cell_length_c 8.756
_cell_angle_alpha 90.00
_cell_angle_beta 90.00
_cell_angle_gamma 90.00
_symmetry_space_group_name_H-M 'I 4/m m m'
_symmetry_Int_Tables_number 139
_symmetry_space_group_name_Hall '-I 4 2'
loop_
_atom_site_label
_atom_site_type_symbol
_atom_site_fract_x
_atom_site_fract_y
_atom_site_fract_z
Pa1 Pa 0.000 0.500 0.000
Ga1 Ga 0.000 0.000 0.000
Ga2 Ga 0.250 0.250 0.250
Rh1 Rh 0.000 0.000 0.500
```

A plane-wave DFT calculation with PBE-GGA was carried out for a relaxed structure of PaGaRh2.

Computed properties:
ΔE_f in eV per atom: -0.6459
Total DFT energy (no corrections) in eV per cell: -29.81

The structure in CIF format:
```
data_PaGaRh2
_chemical_formula_sum 'Pa1 Ga1 Rh2'
_cell_length_a 4.307
_cell_length_b 4.307
_cell_length_c 3.809
_cell_angle_alpha 90.00
_cell_angle_beta 90.00
_cell_angle_gamma 90.00
_symmetry_space_group_name_H-M 'P 4/m m m'
_symmetry_Int_Tables_number 123
_symmetry_space_group_name_Hall '-P 4 2'
loop_
_atom_site_label
_atom_site_type_symbol
_atom_site_fract_x
_atom_site_fract_y
_atom_site_fract_z
Pa1 Pa 0.000 0.000 0.000
Ga1 Ga 0.500 0.500 0.000
Rh1 Rh 0.000 0.500 0.500
```

A plane-wave DFT calculation with PBE-GGA was carried out for a relaxed structure of Pa3GaRh6.

Computed properties:
ΔE_f in eV per atom: -0.6776
Total DFT energy (no corrections) in eV per cell: -329.60

The structure in CIF format:
```
data_Pa3GaRh6
_chemical_formula_sum 'Pa12 Ga4 Rh24'
_cell_length_a 9.979
_cell_length_b 13.839
_cell_length_c 5.481
_cell_angle_alpha 90.00
_cell_angle_beta 90.00
_cell_angle_gamma 90.00
_symmetry_space_group_name_H-M 'C m c 21'
_symmetry_Int_Tables_number 36
_symmetry_space_group_name_Hall 'C 2c -2'
loop_
_atom_site_label
_atom_site_type_symbol
_atom_site_fract_x
_atom_site_fract_y
_atom_site_fract_z
Pa1 Pa 0.000 0.158 0.000
Pa2 Pa 0.190 0.390 0.801
Ga1 Ga 0.000 0.348 0.315
Rh1 Rh 0.000 0.186 0.506
Rh2 Rh 0.000 0.494 0.046
Rh3 Rh 0.138 0.014 0.662
Rh4 Rh 0.250 0.212 0.782
```